An optimized crystal structure of Ba2Na2MoO6, computed with PBE with a Hubbard U.

a b c (Å): 6.395 6.395 5.921
angles (deg): 95.89 95.89 118.89
Atoms (fractional coordinates):
Na: 0.123 0.877 0.000
Na: 0.877 0.123 0.000
Ba: 0.662 0.338 0.500
Ba: 0.338 0.662 0.500
O: 0.708 0.968 0.312
O: 0.796 0.796 0.704
O: 0.204 0.204 0.296
O: 0.968 0.708 0.312
O: 0.292 0.032 0.688
O: 0.032 0.292 0.688
Mo: 0.000 0.000 0.500

Results
Fermi-level density of states: 0.000 states/eV/f.u.
M_tot: 0.000 μB/atom
Raw total energy: -5.96 eV per atom